Entry from Alexandria via LeMat-Bulk: a geometry-optimized AlNiHg structure (PBEsol).

Values from the calculation:
electronic total energy	-3.6677	eV per atom
formation energy	-0.062	eV per atom

a = 5.8743 Å, b = 5.8743 Å, c = 5.8743 Å
α = 90.00°, β = 90.00°, γ = 90.00°
Space group F-43m (No. 216)
Symmetry-distinct sites (fractional):
Al (0.0000, 0.0000, 0.0000)
Ni (0.2500, 0.2500, 0.7500)
Hg (0.0000, 0.0000, 0.5000)